AcHfPa2S8 PBE relaxed; D(E_F) = 0.273 states/eV per atom; E_form (uncorrected) = -19.2 eV per formula unit
1.0
-1.483 -1.241 -6.115
-5.890 -1.052 1.522
-1.736 7.984 -1.200
Ac Hf S Pa
1 1 8 2
direct
0.000 0.000 0.500
0.000 0.000 0.000
0.366 0.280 0.500
0.832 0.232 0.784
0.168 0.768 0.784
0.168 0.768 0.216
0.832 0.232 0.216
0.320 0.269 0.000
0.634 0.720 0.500
0.680 0.731 0.000
0.500 0.500 0.761
0.500 0.500 0.239

SrGa2Pd5 PBE relaxed; energy relative to the elements = -645 meV/atom; D(E_F) = 0.242 states/eV per atom
1.0
-3.209 0.291 -2.360
-5.279 0.500 3.860
-2.297 6.123 0.498
Pd Sr Ga
5 1 2
direct
0.354 0.841 0.452
0.354 0.452 0.841
0.646 0.548 0.159
0.646 0.159 0.548
0.000 0.500 0.500
0.000 0.000 0.000
0.240 0.260 0.260
0.760 0.740 0.740

Tc3HgW PBE relaxed; energy relative to the elements = 3036 meV/atom; D(E_F) = 1.867 states/eV per atom; excess energy over the best structure of this formula in the dataset = 1364 meV per atom
1.0
-4.310 1.232 1.608
-1.779 -0.497 -4.389
-0.968 -4.573 0.911
Hg Tc W
1 3 1
direct
0.000 0.000 0.000
0.000 0.000 0.500
0.500 0.000 0.000
0.000 0.500 0.000
0.500 0.500 0.500

NaCrFeS3 PBE relaxed; D(E_F) = 0.232 states/eV per atom; E_form (uncorrected) = -4.4 eV per formula unit
1.0
3.485 0.000 0.000
0.000 7.549 -0.493
0.000 -2.470 8.354
Fe Cr S Na
2 2 6 2
direct
0.250 0.082 0.607
0.750 0.918 0.393
0.250 0.685 0.154
0.750 0.315 0.846
0.750 0.218 0.543
0.250 0.110 0.867
0.250 0.782 0.457
0.750 0.460 0.140
0.250 0.540 0.860
0.750 0.890 0.133
0.250 0.219 0.235
0.750 0.781 0.765

| no. | electronic total energy (eV per atom) | density (g/cm3) |
| --- | --- | --- |
| 1 | -7.107 | 5.71 |
| 2 | -4.858 | 8.59 |
| 3 | -5.834 | 10.43 |
| 4 | -6.035 | 3.50 |